Compound: BeAgAu
Source: Alexandria
Functional: SCAN
Structure: single point on PBEsol structure

Results
DOS(E_F) in states/eV/atom: 0.238
Energy of formation from the pure elements in eV/atom: -0.14

a b c (Å): 2.9201 2.9201 9.7384
angles (deg): 90.00 90.00 90.00
Last column: nearest neighbours and their distance in Å.
Space group I4mm (No. 107)
Inequivalent atoms, fractional coordinates:
Be 0.0000 0.0000 0.0000 x2  4 Au 2.44, 4 Ag 2.57
Ag 0.0000 0.0000 0.6565 x2  4 Be 2.57, 1 Au 2.82
Au 0.0000 0.0000 0.3673 x2  4 Be 2.44

---

Compound: Be2AgSnAu
Source: Alexandria
Functional: SCAN
Structure: single point on PBEsol structure

Results
DOS(E_F) in states/eV/atom: 0.172
Energy of formation from the pure elements in eV/atom: 0.92

a b c (Å): 4.4402 4.4402 5.2164
angles (deg): 90.00 90.00 90.00
Last column: nearest neighbours and their distance in Å.
Space group P4/mmm (No. 123)
Inequivalent atoms, fractional coordinates:
Be 0.0000 0.5000 0.0000 x2  2 Sn 2.22
Ag 0.0000 0.0000 0.5000 x1  2 Sn 2.61
Sn 0.0000 0.0000 0.0000 x1  4 Be 2.22
Au 0.5000 0.5000 0.5000 x1  4 Ag 3.14, 8 Be 3.43

---

Compound: AgBi2Au2
Source: Alexandria
Functional: SCAN
Structure: single point on PBEsol structure

Results
DOS(E_F) in states/eV/atom: 0.409
Energy of formation from the pure elements in eV/atom: 0.07

a b c (Å): 7.3169 7.3169 4.1969
angles (deg): 90.00 90.00 90.00
Last column: nearest neighbours and their distance in Å.
Space group P4/mbm (No. 127)
Inequivalent atoms, fractional coordinates:
Ag 0.0000 0.0000 0.0000 x2  4 Au 2.84
Bi 0.1698 0.3302 0.5000 x4  6 Au 2.90-3.08
Au 0.1370 0.6370 0.0000 x4  1 Au 2.83, 2 Ag 2.84, 6 Bi 2.90-3.08

---

Compound: Ag2BiAu2
Source: Alexandria
Functional: SCAN
Structure: single point on PBEsol structure

Results
DOS(E_F) in states/eV/atom: 0.309
Energy of formation from the pure elements in eV/atom: 0.01

a b c (Å): 7.7780 7.7780 3.2084
angles (deg): 90.00 90.00 90.00
Last column: nearest neighbours and their distance in Å.
Space group P4/mbm (No. 127)
Inequivalent atoms, fractional coordinates:
Ag 0.1661 0.3339 0.0000 x4  6 Au 2.76-2.82
Bi 0.0000 0.0000 0.5000 x2  4 Au 3.05, 2 Bi 3.21, 8 Ag 3.31
Au 0.1295 0.6295 0.5000 x4  6 Ag 2.76-2.82, 1 Au 2.85, 2 Bi 3.05

---

Compound: AgBi2Au2
Source: Alexandria
Functional: SCAN
Structure: single point on PBEsol structure

Results
DOS(E_F) in states/eV/atom: 0.400
Energy of formation from the pure elements in eV/atom: 0.34

a b c (Å): 4.5743 4.5743 12.2506
angles (deg): 90.00 90.00 90.00
Last column: nearest neighbours and their distance in Å.
Space group I4/mmm (No. 139)
Inequivalent atoms, fractional coordinates:
Ag 0.0000 0.0000 0.0000 x2  8 Au 3.48, 8 Bi 3.82
Bi 0.0000 0.5000 0.2500 x4  4 Au 2.90, 4 Bi 3.23
Au 0.0000 0.0000 0.3954 x4  1 Au 2.56

---

Compound: Ag2BiAu2
Source: Alexandria
Functional: SCAN
Structure: single point on PBEsol structure

Results
DOS(E_F) in states/eV/atom: 0.408
Energy of formation from the pure elements in eV/atom: 0.12

a b c (Å): 3.8678 3.8678 13.6285
angles (deg): 90.00 90.00 90.00
Last column: nearest neighbours and their distance in Å.
Space group I4/mmm (No. 139)
Inequivalent atoms, fractional coordinates:
Ag 0.0000 0.0000 0.1006 x4  1 Ag 2.74, 4 Au 2.81, 4 Bi 3.06
Bi 0.0000 0.0000 0.5000 x2  8 Ag 3.06
Au 0.0000 0.5000 0.2500 x4  4 Au 2.73, 4 Ag 2.81

---

Compound: Ag3BiAu
Source: Alexandria
Functional: SCAN
Structure: single point on PBEsol structure

Results
DOS(E_F) in states/eV/atom: 0.354
Energy of formation from the pure elements in eV/atom: 0.82

a b c (Å): 5.1982 5.1982 5.1982
angles (deg): 90.00 90.00 90.00
Last column: nearest neighbours and their distance in Å.
Space group Pm-3m (No. 221)
Inequivalent atoms, fractional coordinates:
Ag 0.0000 0.0000 0.5000 x3  2 Bi 2.60
Bi 0.0000 0.0000 0.0000 x1  6 Ag 2.60
Au 0.5000 0.5000 0.5000 x1  12 Ag 3.68

---

Compound: Hf2AgBiAu
Source: Alexandria
Functional: SCAN
Structure: single point on PBEsol structure

Results
DOS(E_F) in states/eV/atom: 0.760
Energy of formation from the pure elements in eV/atom: 1.08

a b c (Å): 5.0540 5.0540 5.1339
angles (deg): 90.00 90.00 90.00
Last column: nearest neighbours and their distance in Å.
Space group P4/mmm (No. 123)
Inequivalent atoms, fractional coordinates:
Hf 0.0000 0.5000 0.0000 x2  2 Ag 2.53
Ag 0.0000 0.0000 0.0000 x1  4 Hf 2.53, 2 Bi 2.57
Bi 0.0000 0.0000 0.5000 x1  2 Ag 2.57
Au 0.5000 0.5000 0.5000 x1  4 Bi 3.57, 8 Hf 3.60

---

Compound: AgAuBr2
Source: Alexandria
Functional: SCAN
Structure: single point on PBEsol structure

Results
Formation energy from raw total energies in eV/atom: 0.17
DOS(E_F) in states/eV/atom: 0.263

a b c (Å): 3.4760 3.4760 6.9649
angles (deg): 90.00 90.00 90.00
Last column: nearest neighbours and their distance in Å.
Space group P4/mmm (No. 123)
Inequivalent atoms, fractional coordinates:
Ag 0.0000 0.0000 0.0000 x1  8 Br 3.00
Au 0.0000 0.0000 0.5000 x1  8 Br 3.02
Br 0.5000 0.5000 0.2481 x2  4 Ag 3.00, 4 Au 3.02

---

Compound: AgAuBr2
Source: Alexandria
Functional: SCAN
Structure: single point on PBEsol structure

Results
Formation energy from raw total energies in eV/atom: -0.18

a b c (Å): 4.1237 4.1237 23.1467
angles (deg): 90.00 90.00 120.00
Last column: nearest neighbours and their distance in Å.
Space group R-3m (No. 166, hexagonal axes)
Inequivalent atoms, fractional coordinates:
Ag 0.0000 0.0000 0.0000 x3  6 Br 2.80
Au 0.0000 0.0000 0.5000 x3  2 Br 2.39
Br 0.0000 0.0000 0.3967 x6  1 Au 2.39

---

Compound: AgAu2Br2
Source: Alexandria
Functional: SCAN
Structure: single point on PBEsol structure

Results
Formation energy from raw total energies in eV/atom: 0.16
DOS(E_F) in states/eV/atom: 0.250

a b c (Å): 3.7297 3.7297 16.0601
angles (deg): 90.00 90.00 90.00
Last column: nearest neighbours and their distance in Å.
Space group I4/mmm (No. 139)
Inequivalent atoms, fractional coordinates:
Ag 0.0000 0.0000 0.0000 x2  8 Br 3.05
Au 0.0000 0.5000 0.2500 x4  4 Au 2.64
Br 0.0000 0.0000 0.4049 x4  4 Ag 3.05, 1 Br 3.05, 4 Au 3.11

---

Compound: AgAuBr2
Source: Alexandria
Functional: SCAN
Structure: single point on PBEsol structure

Results
Formation energy from raw total energies in eV/atom: -0.23
DOS(E_F) in states/eV/atom: 0.000

a b c (Å): 12.8085 3.8311 4.4230
angles (deg): 90.00 93.38 90.00
Last column: nearest neighbours and their distance in Å.
Space group C2/m (No. 12)
Inequivalent atoms, fractional coordinates:
Ag 0.0000 0.0000 0.0000 x2  4 Br 2.83, 4 Au 2.93
Au 0.0000 0.5000 0.5000 x2  2 Br 2.42
Br 0.1515 0.5000 0.1990 x4  1 Au 2.42

---

Compound: AgSnAu2Br
Source: Alexandria
Functional: SCAN
Structure: single point on PBEsol structure

Results
Formation energy from raw total energies in eV/atom: 0.50
DOS(E_F) in states/eV/atom: 0.420

a b c (Å): 5.0202 5.0202 5.2892
angles (deg): 90.00 90.00 90.00
Last column: nearest neighbours and their distance in Å.
Space group P4/mmm (No. 123)
Inequivalent atoms, fractional coordinates:
Ag 0.0000 0.0000 0.0000 x1  4 Au 2.51, 2 Sn 2.64
Sn 0.0000 0.0000 0.5000 x1  2 Ag 2.64
Au 0.0000 0.5000 0.0000 x2  2 Ag 2.51
Br 0.5000 0.5000 0.5000 x1  4 Sn 3.55, 8 Au 3.65

---

Compound: AgAuC2
Source: Alexandria
Functional: SCAN
Structure: single point on PBEsol structure

Results
DOS(E_F) in states/eV/atom: 0.578
Energy of formation from the pure elements in eV/atom: 2.00

a b c (Å): 4.9519 4.9519 9.2813
angles (deg): 90.00 90.00 90.00
Last column: nearest neighbours and their distance in Å.
Space group I-42d (No. 122)
Inequivalent atoms, fractional coordinates:
Ag 0.0000 0.0000 0.0000 x4  4 C 2.15
Au 0.0000 0.0000 0.5000 x4  4 C 2.05
C 0.2331 0.2500 0.6250 x8  2 Au 2.05, 2 Ag 2.15

---

no.,DFT total energy (eV for the cell shown)
1,-210.622
2,-140.541
3,-653.011
4,-559.157
5,-650.301
6,-558.078
7,-237.731
8,-299.052
9,-138.744
10,-420.466
11,-415.594
12,-280.711
13,-222.561
14,-450.917